A plane-wave DFT calculation with PBE was carried out for Ce5SmBi4 after structural relaxation.

abc: 5.972 10.640 11.120
angles: 90.00 90.00 90.00
Fractional coordinates of all 20 atoms:
Ce  0.264  0.750  0.750
Ce  0.264  0.250  0.750
Ce  0.001  0.500  0.000
Ce  0.264  0.750  0.250
Ce  0.264  0.250  0.250
Ce  0.736  0.750  0.250
Ce  0.736  0.250  0.250
Ce  0.999  0.000  0.500
Ce  0.736  0.250  0.750
Ce  0.736  0.750  0.750
Sm  0.500  0.000  0.000
Sm  0.500  0.500  0.500
Bi  0.000  0.000  0.830
Bi  0.501  0.676  0.000
Bi  0.501  0.324  0.000
Bi  0.000  0.000  0.170
Bi  0.000  0.500  0.330
Bi  0.499  0.824  0.500
Bi  0.499  0.176  0.500
Bi  0.000  0.500  0.670

* uncorrected energy: -0.391 Ry per atom
* ΔH_f (0 K): -329 meV per atom
* density of states at the Fermi level: 62.689 states/eV per cell
* space group: No. 59

A plane-wave DFT calculation with PBE was carried out for Pr5Y2Tm5 after structural relaxation.

abc: 5.067 10.801 8.057
angles: 98.60 71.67 76.43
Fractional coordinates of all 12 atoms:
Pr  0.668  0.250  0.414
Pr  0.000  0.249  0.752
Pr  0.000  0.751  0.248
Pr  0.332  0.750  0.586
Pr  0.000  0.000  0.000
Y  0.333  0.501  0.833
Y  0.667  0.499  0.167
Tm  0.000  0.500  0.500
Tm  0.668  0.748  0.916
Tm  0.333  0.000  0.334
Tm  0.667  0.000  0.666
Tm  0.332  0.252  0.084

* uncorrected energy: -0.361 Ry per atom
* ΔH_f (0 K): 22 meV per atom
* density of states at the Fermi level: 17.141 states/eV per cell
* space group: No. 12

A plane-wave DFT calculation with PBE was carried out for Np3Sc2UN6 after structural relaxation.

abc: 5.789 5.789 5.903
angles: 99.41 99.41 120.02
Fractional coordinates of all 12 atoms:
Np  0.169  0.831  0.500
Np  0.831  0.169  0.500
Np  0.500  0.500  0.500
Sc  0.333  0.667  0.000
Sc  0.667  0.333  0.000
U  0.000  0.000  0.000
N  0.922  0.587  0.768
N  0.743  0.743  0.233
N  0.078  0.413  0.232
N  0.587  0.922  0.768
N  0.257  0.257  0.767
N  0.413  0.078  0.232

* uncorrected energy: -0.792 Ry per atom
* density of states at the Fermi level: 17.822 states/eV per cell
* ΔE_f (raw): -1379 meV/atom
* space group: No. 12

A plane-wave DFT calculation with PBE was carried out for Ba8C after structural relaxation.

abc: 11.115 11.115 11.115
angles: 91.99 91.99 158.54
Fractional coordinates of all 9 atoms:
Ba  0.611  0.611  0.222
Ba  0.389  0.389  0.778
Ba  0.000  0.335  0.335
Ba  0.389  0.611  0.000
Ba  0.665  0.000  0.665
Ba  0.611  0.389  0.000
Ba  0.000  0.665  0.665
Ba  0.335  0.000  0.335
C  0.000  0.000  0.000

* uncorrected energy: -0.170 Ry per atom
* ΔH_f (0 K): 428 meV per atom
* density of states at the Fermi level: 12.070 states/eV per cell
* space group: No. 139

A plane-wave DFT calculation with PBE was carried out for Nd3Dy2Y6Sc after structural relaxation.

abc: 6.190 6.190 11.804
angles: 95.01 95.01 119.98
Fractional coordinates of all 12 atoms:
Nd  0.167  0.833  0.500
Nd  0.833  0.167  0.500
Nd  0.500  0.500  0.500
Dy  0.334  0.666  0.000
Dy  0.666  0.334  0.000
Y  0.919  0.588  0.756
Y  0.750  0.750  0.244
Y  0.081  0.412  0.244
Y  0.588  0.919  0.756
Y  0.250  0.250  0.756
Y  0.412  0.081  0.244
Sc  0.000  0.000  0.000

* uncorrected energy: -0.418 Ry per atom
* ΔH_f (0 K): 30 meV per atom
* density of states at the Fermi level: 17.652 states/eV per cell
* space group: No. 12

A plane-wave DFT calculation with PBE was carried out for YMg2PbN after structural relaxation.

abc: 4.481 4.481 4.802
angles: 90.00 90.00 90.00
Fractional coordinates of all 5 atoms:
Pb  0.500  0.500  0.500
Y  0.000  0.000  0.500
Mg  0.000  0.500  0.000
Mg  0.500  0.000  0.000
N  0.000  0.000  0.000

* uncorrected energy: -0.368 Ry per atom
* density of states at the Fermi level: 0.266 states/eV per cell
* ΔE_f (raw): -675 meV/atom
* space group: No. 123

- What is the formula in the fifth record?
  Nd3Dy2Y6Sc

- Number 4 is which compound?
  Ba8C

- What is the uncorrected energy in the second record?
  -0.361 Ry per atom